# PBE-GGA ScNiHgAu, relaxed
data_ScNiHgAu
_symmetry_space_group_name_H-M 'P 1'
_symmetry_Int_Tables_number 1
_cell_length_a 4.642
_cell_length_b 4.642
_cell_length_c 4.642
_cell_angle_alpha 60.00
_cell_angle_beta 60.00
_cell_angle_gamma 60.00
loop_
_symmetry_equiv_pos_as_xyz
'x,y,z'
loop_
_atom_site_label
_atom_site_type_symbol
_atom_site_fract_x
_atom_site_fract_y
_atom_site_fract_z
Sc1 Sc 0.000 0.000 0.000
Ni1 Ni 0.750 0.750 0.750
Hg1 Hg 0.500 0.500 0.500
Au1 Au 0.250 0.250 0.250
# E_form in eV/atom: -0.324
# Magnetic moment in μB per formula unit: 0.000
# Calculated volume in A^3/atom: 17.680